No. 1
Below is crystalline HfScAg3 at its relaxed geometry, with properties calculated at the PBE level.

Computed properties:
Symmetry: Pm-3m (221)
N(E_F) (states/eV/f.u.): 6.73
Raw total energy (eV/atom): -4.023
Energy above the lowest structure with this stoichiometry (eV per atom): 0.000
Magnetization (Bohr magnetons per cell): 0.25

The structure in POSCAR format:
```
HfScAg3
1.0
-2.5836 -4.2019 -1.3609
4.4041 -2.3314 -1.1627
0.3347 -1.7584 4.7936
Ag Sc Hf
3 1 1
Direct
0.0000 0.0000 0.5000 Ag
0.5000 0.0000 0.0000 Ag
0.0000 0.5000 0.0000 Ag
0.5000 0.5000 0.5000 Sc
0.0000 0.0000 0.0000 Hf
```



No. 2
Below is crystalline HfSc4Ag at its relaxed geometry, with properties calculated at the PBE level.

Computed properties:
Symmetry: P4/mmm (123)
N(E_F) (states/eV/f.u.): 9.04
Raw total energy (eV/atom): -6.398
Magnetization (Bohr magnetons per cell): 0.00

The structure in POSCAR format:
```
HfSc4Ag
1.0
3.2201 -0.0006 0.0001
0.0006 3.2201 0.0001
-0.0011 -0.0011 13.1427
Sc Hf Ag
4 1 1
Direct
0.5000 0.5000 0.8330 Sc
0.0000 0.0000 0.3538 Sc
0.0000 0.0000 0.6462 Sc
0.5000 0.5000 0.1670 Sc
0.0000 0.0000 0.0000 Hf
0.5000 0.5000 0.5000 Ag
```



No. 3
Below is crystalline Hf2ScAgSe at its relaxed geometry, with properties calculated at the PBE level.

Computed properties:
Symmetry: P4/mmm (123)
N(E_F) (states/eV/f.u.): 2.10
Raw total energy (eV/atom): -6.475
ΔE_f (raw) (eV per atom): 0.039
Magnetization (Bohr magnetons per cell): 0.00

The structure in POSCAR format:
```
Hf2ScAgSe
1.0
4.9277 0.0000 0.0000
0.0000 4.8906 0.0000
0.0000 0.0000 4.9277
Hf Sc Se Ag
2 1 1 1
Direct
0.0000 0.0000 0.5000 Hf
0.5000 0.0000 0.0000 Hf
0.0000 0.5000 0.0000 Sc
0.0000 0.0000 0.0000 Se
0.5000 0.5000 0.5000 Ag
```



No. 4
Below is crystalline HfScTaAg2 at its relaxed geometry, with properties calculated at the PBE level.

Computed properties:
Symmetry: P4/mmm (123)
N(E_F) (states/eV/f.u.): 4.69
Raw total energy (eV/atom): -5.102
Magnetization (Bohr magnetons per cell): 1.64

The structure in POSCAR format:
```
HfScTaAg2
1.0
-4.8769 -0.9879 0.5600
1.0114 -2.7165 4.0160
-0.4939 4.0688 2.8765
Sc Hf Ta Ag
1 1 1 2
Direct
0.0000 0.5000 0.0000 Sc
0.0000 0.0000 0.0000 Hf
0.5000 0.5000 0.5000 Ta
0.5000 0.0000 0.0000 Ag
0.0000 0.0000 0.5000 Ag
```



No. 5
Below is crystalline HfScTcAg at its relaxed geometry, with properties calculated at the PBE level.

Computed properties:
Symmetry: F-43m (216)
N(E_F) (states/eV/f.u.): 2.87
Raw total energy (eV/atom): -7.613
Magnetization (Bohr magnetons per cell): 0.00

The structure in POSCAR format:
```
HfScTcAg
1.0
4.7001 0.0000 0.0000
2.3501 4.0704 0.0000
2.3501 1.3568 3.8376
Sc Ag Hf Tc
1 1 1 1
Direct
0.5000 0.5000 0.5000 Sc
0.7500 0.7500 0.7500 Ag
0.0000 0.0000 0.0000 Hf
0.2500 0.2500 0.2500 Tc
```



No. 6
Below is crystalline HfSc3Ag3Te8 at its relaxed geometry, with properties calculated at the PBE level.

Computed properties:
Symmetry: C2/m (12)
N(E_F) (states/eV/f.u.): 0.34
Raw total energy (eV/atom): -4.906
ΔE_f (raw) (eV per atom): -0.730
Magnetization (Bohr magnetons per cell): 0.00

The structure in POSCAR format:
```
HfSc3Ag3Te8
1.0
-5.6836 -3.0040 -5.2902
4.5873 -5.2156 4.5843
-6.0959 4.7060 3.8770
Te Ag Hf Sc
8 3 1 3
Direct
0.2528 0.5056 0.2593 Te
0.7490 0.9935 0.7372 Te
0.2445 0.9935 0.7372 Te
0.2510 0.0065 0.2628 Te
0.7472 0.4944 0.7407 Te
0.2446 0.4891 0.7371 Te
0.7554 0.5109 0.2629 Te
0.7555 0.0065 0.2628 Te
0.0000 0.0000 0.0000 Ag
0.0000 0.5000 0.0000 Ag
0.5000 0.5000 0.0000 Ag
0.0000 0.0000 0.5000 Hf
0.0000 0.5000 0.5000 Sc
0.5000 0.0000 0.5000 Sc
0.5000 0.5000 0.5000 Sc
```



No. 7
Below is crystalline HfSc2AgTe at its relaxed geometry, with properties calculated at the PBE level.

Computed properties:
Symmetry: P4/mmm (123)
N(E_F) (states/eV/f.u.): 4.48
Raw total energy (eV/atom): -5.449
ΔE_f (raw) (eV per atom): 0.273
Magnetization (Bohr magnetons per cell): 0.00

The structure in POSCAR format:
```
HfSc2AgTe
1.0
-2.7533 0.3280 -4.3212
4.2543 -0.8227 -2.7731
-0.8678 -5.0576 0.1691
Sc Te Hf Ag
2 1 1 1
Direct
0.0000 0.0000 0.5000 Sc
0.5000 0.0000 0.0000 Sc
0.5000 0.5000 0.5000 Te
0.0000 0.5000 0.0000 Hf
0.0000 0.0000 0.0000 Ag
```



No. 8
Below is crystalline HfSc2TiAg at its relaxed geometry, with properties calculated at the PBE level.

Computed properties:
Symmetry: P4/mmm (123)
N(E_F) (states/eV/f.u.): 9.99
Raw total energy (eV/atom): -5.838
Magnetization (Bohr magnetons per cell): 2.97

The structure in POSCAR format:
```
HfSc2TiAg
1.0
-4.6686 -1.5817 -1.0914
-0.7114 -1.3382 4.9826
-1.7937 4.6157 0.9835
Sc Hf Ti Ag
2 1 1 1
Direct
0.0000 0.0000 0.5000 Sc
0.5000 0.0000 0.0000 Sc
0.0000 0.5000 0.0000 Hf
0.5000 0.5000 0.5000 Ti
0.0000 0.0000 0.0000 Ag
```



No. 9
Below is crystalline HfAgSe2 at its relaxed geometry, with properties calculated at the PBE level.

Computed properties:
Symmetry: R-3m (166)
N(E_F) (states/eV/f.u.): 1.71
Raw total energy (eV/atom): -5.742
ΔE_f (raw) (eV per atom): -0.798
Magnetization (Bohr magnetons per cell): 0.00

The structure in POSCAR format:
```
HfAgSe2
1.0
2.1298 0.0000 8.4172
-1.0649 1.8445 8.4172
-1.0649 -1.8445 8.4172
Se Ag Hf
2 1 1
Direct
0.1021 0.1021 0.1021 Se
0.8979 0.8979 0.8979 Se
0.0000 0.0000 0.0000 Ag
0.5000 0.5000 0.5000 Hf
```



No. 10
Below is crystalline HfAg3Se4 at its relaxed geometry, with properties calculated at the PBE level.

Computed properties:
Symmetry: I-42m (121)
N(E_F) (states/eV/f.u.): 8.08
Raw total energy (eV/atom): -4.481
ΔE_f (raw) (eV per atom): -0.425
Magnetization (Bohr magnetons per cell): 0.00

The structure in POSCAR format:
```
HfAg3Se4
1.0
6.0654 0.0000 0.0000
0.0000 6.0654 0.0000
-3.0327 -3.0327 6.0821
Se Ag Hf
4 3 1
Direct
0.1206 0.6385 0.7592 Se
0.8794 0.8794 0.2408 Se
0.6385 0.1206 0.7592 Se
0.3615 0.3615 0.2408 Se
0.2500 0.7500 0.5000 Ag
0.7500 0.2500 0.5000 Ag
0.5000 0.5000 0.0000 Ag
0.0000 0.0000 0.0000 Hf
```



No. 11
Below is crystalline HfAg2Se4 at its relaxed geometry, with properties calculated at the PBE level.

Computed properties:
Symmetry: Cmcm (63)
N(E_F) (states/eV/f.u.): 3.94
Raw total energy (eV/atom): -4.699
ΔE_f (raw) (eV per atom): -0.471
Magnetization (Bohr magnetons per cell): 0.00

The structure in POSCAR format:
```
HfAg2Se4
1.0
-1.6955 -3.3059 0.0048
1.9859 1.0790 6.7055
-10.9002 5.5939 2.3280
Ag Se Hf
4 8 2
Direct
0.8669 0.7339 0.9316 Ag
0.1331 0.2661 0.0684 Ag
0.8669 0.7339 0.5684 Ag
0.1331 0.2661 0.4316 Ag
0.9571 0.9142 0.7500 Se
0.8007 0.6014 0.3721 Se
0.1993 0.3986 0.8721 Se
0.5000 0.0000 0.0000 Se
0.0429 0.0858 0.2500 Se
0.8007 0.6014 0.1279 Se
0.5000 0.0000 0.5000 Se
0.1993 0.3986 0.6279 Se
0.3982 0.7964 0.2500 Hf
0.6018 0.2036 0.7500 Hf
```



No. 12
Below is crystalline HfAg2Se3 at its relaxed geometry, with properties calculated at the PBE level.

Computed properties:
Symmetry: C2 (5)
Raw total energy (eV/atom): -4.971
ΔE_f (raw) (eV per atom): -0.619
Magnetization (Bohr magnetons per cell): 0.00

The structure in POSCAR format:
```
HfAg2Se3
1.0
6.8876 0.0044 -0.8647
-3.6894 5.8162 -0.8650
0.3036 0.5522 7.0662
Ag Se Hf
4 6 2
Direct
0.0763 0.9236 0.5000 Ag
0.3334 0.6666 0.0000 Ag
0.8336 0.1664 0.5000 Ag
0.5910 0.4091 0.5000 Ag
0.0226 0.3562 0.2185 Se
0.7163 0.6998 0.2146 Se
0.3003 0.2837 0.7854 Se
0.6439 0.9775 0.7815 Se
0.3661 0.0496 0.2144 Se
0.9504 0.6339 0.7856 Se
0.6714 0.3287 0.0000 Hf
0.9949 0.0051 0.0000 Hf
```